[1]
Computed, not measured: a relaxed Dy3In3Hg2 crystal at the PBE level of DFT.

Values from the calculation:
- Formation energy from the elements: -0.4256 eV/atom

The structure in CIF format:
```
data_Dy3In3Hg2
_chemical_formula_sum 'Dy3 In3 Hg2'
_space_group_name_H-M_alt 'P -6 2 m'
_space_group_IT_number 189
_space_group_name_Hall 'P -6 -2'
_cell_length_a 8.0522
_cell_length_b 8.0522
_cell_length_c 3.6948
_cell_angle_alpha 90.00
_cell_angle_beta 90.00
_cell_angle_gamma 120.00
loop_
_atom_site_label
_atom_site_type_symbol
_atom_site_fract_x
_atom_site_fract_y
_atom_site_fract_z
Dy1 Dy 0.0000 0.3931 0.0000
In1 In 0.0000 0.7676 0.5000
Hg1 Hg 0.3333 0.6667 0.5000
```

---

[2]
Computed, not measured: a relaxed Dy2In9Hg crystal at the PBE level of DFT.

Values from the calculation:
- Formation energy from the elements: -0.2372 eV/atom

The structure in CIF format:
```
data_Dy2In9Hg
_chemical_formula_sum 'Dy2 In9 Hg1'
_space_group_name_H-M_alt 'P 4/m m m'
_space_group_IT_number 123
_space_group_name_Hall '-P 4 2'
_cell_length_a 4.611
_cell_length_b 4.611
_cell_length_c 14.479
_cell_angle_alpha 90.00
_cell_angle_beta 90.00
_cell_angle_gamma 90.00
loop_
_atom_site_label
_atom_site_type_symbol
_atom_site_fract_x
_atom_site_fract_y
_atom_site_fract_z
Dy1 Dy 0.000 0.000 0.159
In1 In 0.000 0.500 0.000
In2 In 0.000 0.500 0.327
In3 In 0.500 0.500 0.162
In4 In 0.500 0.500 0.500
Hg1 Hg 0.000 0.000 0.500
```

---

[3]
Computed, not measured: a relaxed Dy2InHg6 crystal at the PBE level of DFT.

Values from the calculation:
- Formation energy from the elements: -0.1856 eV/atom
- Distance to the lowest polymorph of the same formula: 80.9 kJ/mol of formula units

The structure in CIF format:
```
data_Dy2InHg6
_chemical_formula_sum 'Dy4 In2 Hg12'
_space_group_name_H-M_alt 'C 1 2/m 1'
_space_group_IT_number 12
_cell_length_a 11.555
_cell_length_b 6.681
_cell_length_c 5.806
_cell_angle_alpha 90.00
_cell_angle_beta 90.24
_cell_angle_gamma 90.00
loop_
_space_group_symop_operation_xyz
'x,y,z'
'-x,-y,-z'
'-x,y,-z'
'x,-y,z'
'x+1/2,y+1/2,z'
'-x+1/2,-y+1/2,-z'
'-x+1/2,y+1/2,-z'
'x+1/2,-y+1/2,z'
loop_
_atom_site_label
_atom_site_type_symbol
_atom_site_fract_x
_atom_site_fract_y
_atom_site_fract_z
Dy1 Dy 0.167 0.000 0.315
In1 In 0.000 0.500 0.500
Hg1 Hg 0.092 0.222 0.820
Hg2 Hg 0.185 0.500 0.182
```

---

Number 1: magnetization 0.00 μB per atom. Number 2: magnetization 0.00 μB per atom. Number 3: magnetization 0.00 μB per atom.